Below is crystalline P3Ir at its relaxed geometry, with properties calculated at the GGA-PBE level.

DOS at the Fermi energy = 0.393 states/eV/atom
spin magnetization = 0.000 μB per formula unit

CIF file:
```
data_P3Ir
_symmetry_space_group_name_H-M 'P 1'
_symmetry_Int_Tables_number 1
_cell_length_a 4.468
_cell_length_b 4.468
_cell_length_c 2.809
_cell_angle_alpha 90.00
_cell_angle_beta 90.00
_cell_angle_gamma 90.00
loop_
_symmetry_equiv_pos_as_xyz
'x,y,z'
loop_
_atom_site_label
_atom_site_fract_x
_atom_site_fract_y
_atom_site_fract_z
P1 0.500 0.500 0.000
P2 0.000 0.500 0.500
P3 0.500 0.000 0.500
Ir1 0.000 0.000 0.000
```

=====

Below is crystalline PIr at its relaxed geometry, with properties calculated at the GGA-PBE level.

DOS at the Fermi energy = 0.462 states/eV/atom
spin magnetization = 0.000 μB per formula unit

CIF file:
```
data_PIr
_symmetry_space_group_name_H-M 'P 1'
_symmetry_Int_Tables_number 1
_cell_length_a 3.731
_cell_length_b 5.099
_cell_length_c 12.140
_cell_angle_alpha 90.00
_cell_angle_beta 90.00
_cell_angle_gamma 90.00
loop_
_symmetry_equiv_pos_as_xyz
'x,y,z'
loop_
_atom_site_label
_atom_site_fract_x
_atom_site_fract_y
_atom_site_fract_z
Ir1 0.500 0.465 0.000
Ir2 0.500 0.068 0.334
Ir3 0.500 0.068 0.666
Ir4 0.000 0.932 0.834
Ir5 0.000 0.932 0.166
Ir6 0.000 0.535 0.500
P1 0.500 0.277 0.500
P2 0.500 0.180 0.857
P3 0.000 0.723 0.000
P4 0.500 0.180 0.143
P5 0.000 0.820 0.357
P6 0.000 0.820 0.643
```

=====

Below is crystalline P3Ir at its relaxed geometry, with properties calculated at the GGA-PBE level.

DOS at the Fermi energy = 0.236 states/eV/atom
spin magnetization = 0.000 μB per formula unit

CIF file:
```
data_P3Ir
_symmetry_space_group_name_H-M 'P 1'
_symmetry_Int_Tables_number 1
_cell_length_a 3.789
_cell_length_b 4.458
_cell_length_c 4.458
_cell_angle_alpha 60.23
_cell_angle_beta 90.00
_cell_angle_gamma 90.00
loop_
_symmetry_equiv_pos_as_xyz
'x,y,z'
loop_
_atom_site_label
_atom_site_fract_x
_atom_site_fract_y
_atom_site_fract_z
P1 0.500 0.198 0.198
P2 0.000 0.500 0.500
P3 0.500 0.802 0.802
Ir1 0.000 0.000 0.000
```

=====

Below is crystalline PIr at its relaxed geometry, with properties calculated at the GGA-PBE level.

DOS at the Fermi energy = 0.829 states/eV/atom
spin magnetization = 0.000 μB per formula unit

CIF file:
```
data_PIr
_symmetry_space_group_name_H-M 'P 1'
_symmetry_Int_Tables_number 1
_cell_length_a 5.056
_cell_length_b 5.056
_cell_length_c 5.056
_cell_angle_alpha 138.77
_cell_angle_beta 138.77
_cell_angle_gamma 59.73
loop_
_symmetry_equiv_pos_as_xyz
'x,y,z'
loop_
_atom_site_label
_atom_site_fract_x
_atom_site_fract_y
_atom_site_fract_z
P1 0.500 0.500 0.000
P2 0.750 0.250 0.500
Ir1 0.000 0.000 0.000
Ir2 0.250 0.750 0.500
```

=====

Below is crystalline P3Ir at its relaxed geometry, with properties calculated at the GGA-PBE level.

DOS at the Fermi energy = 0.048 states/eV/atom
spin magnetization = 0.000 μB per formula unit

CIF file:
```
data_P3Ir
_symmetry_space_group_name_H-M 'P 1'
_symmetry_Int_Tables_number 1
_cell_length_a 5.663
_cell_length_b 5.663
_cell_length_c 10.266
_cell_angle_alpha 90.00
_cell_angle_beta 90.00
_cell_angle_gamma 90.00
loop_
_symmetry_equiv_pos_as_xyz
'x,y,z'
loop_
_atom_site_label
_atom_site_fract_x
_atom_site_fract_y
_atom_site_fract_z
Ir1 0.019 0.609 0.250
Ir2 0.519 0.891 0.750
Ir3 0.981 0.391 0.750
Ir4 0.481 0.109 0.250
P1 0.624 0.497 0.250
P2 0.624 0.256 0.859
P3 0.376 0.744 0.359
P4 0.124 0.244 0.359
P5 0.876 0.997 0.250
P6 0.876 0.756 0.859
P7 0.124 0.003 0.750
P8 0.624 0.256 0.641
P9 0.124 0.244 0.141
P10 0.876 0.756 0.641
P11 0.376 0.503 0.750
P12 0.376 0.744 0.141
```

=====

Below is crystalline P2Ir at its relaxed geometry, with properties calculated at the GGA-PBE level.

DOS at the Fermi energy = 0.542 states/eV/atom
spin magnetization = 0.000 μB per formula unit

CIF file:
```
data_P2Ir
_symmetry_space_group_name_H-M 'P 1'
_symmetry_Int_Tables_number 1
_cell_length_a 4.926
_cell_length_b 4.926
_cell_length_c 4.926
_cell_angle_alpha 60.00
_cell_angle_beta 60.00
_cell_angle_gamma 60.00
loop_
_symmetry_equiv_pos_as_xyz
'x,y,z'
loop_
_atom_site_label
_atom_site_fract_x
_atom_site_fract_y
_atom_site_fract_z
Ir1 0.500 0.500 0.500
Ir2 0.750 0.750 0.750
P1 0.125 0.625 0.125
P2 0.625 0.125 0.125
P3 0.125 0.125 0.625
P4 0.125 0.125 0.125
```

=====

Below is crystalline PIr at its relaxed geometry, with properties calculated at the GGA-PBE level.

DOS at the Fermi energy = 0.839 states/eV/atom
spin magnetization = 0.000 μB per formula unit

CIF file:
```
data_PIr
_symmetry_space_group_name_H-M 'P 1'
_symmetry_Int_Tables_number 1
_cell_length_a 2.906
_cell_length_b 2.906
_cell_length_c 3.267
_cell_angle_alpha 90.00
_cell_angle_beta 90.00
_cell_angle_gamma 90.00
loop_
_symmetry_equiv_pos_as_xyz
'x,y,z'
loop_
_atom_site_label
_atom_site_fract_x
_atom_site_fract_y
_atom_site_fract_z
Ir1 0.000 0.000 0.000
P1 0.500 0.500 0.500
```

=====

Below is crystalline PIr at its relaxed geometry, with properties calculated at the GGA-PBE level.

DOS at the Fermi energy = 0.461 states/eV/atom
spin magnetization = 0.000 μB per formula unit

CIF file:
```
data_PIr
_symmetry_space_group_name_H-M 'P 1'
_symmetry_Int_Tables_number 1
_cell_length_a 4.195
_cell_length_b 5.418
_cell_length_c 3.446
_cell_angle_alpha 71.45
_cell_angle_beta 65.75
_cell_angle_gamma 56.56
loop_
_symmetry_equiv_pos_as_xyz
'x,y,z'
loop_
_atom_site_label
_atom_site_fract_x
_atom_site_fract_y
_atom_site_fract_z
P1 0.536 0.502 0.481
P2 0.381 0.081 0.269
Ir1 0.869 0.601 0.765
Ir2 0.048 0.982 0.985
```

=====

no.,energy (eV/atom)
1,-5.789
2,-7.436
3,-6.352
4,-6.887
5,-6.487
6,-5.657
7,-6.969
8,-7.228